(1)
# PBE MgAg8Pd2, optimized geometry
# - VASP energy (eV per formula unit) = -34.32
# - magnetic moment (μB/f.u.) = 0.0
# - formation enthalpy at 0 K (meV/atom) = 43
data_MgAg8Pd2
_cell_length_a 7.521
_cell_length_b 14.444
_cell_length_c 4.970
_cell_angle_alpha 90.00
_cell_angle_beta 130.39
_cell_angle_gamma 90.00
_symmetry_space_group_name_H-M 'C 1 2/m 1'
_symmetry_Int_Tables_number 12
_symmetry_space_group_name_Hall '-C 2y'
loop_
_atom_site_label
_atom_site_fract_x
_atom_site_fract_y
_atom_site_fract_z
Mg1 0.000 0.000 0.000
Ag1 0.000 0.188 0.000
Ag2 0.065 0.500 0.811
Ag3 0.242 0.147 0.730
Pd1 0.000 0.324 0.500

(2)
# PBE Mg2Ag8Pd, optimized geometry
# - VASP energy (eV per formula unit) = -31.04
# - magnetic moment (μB/f.u.) = 0.0
# - formation enthalpy at 0 K (meV/atom) = 14
data_Mg2Ag8Pd
_cell_length_a 7.537
_cell_length_b 13.008
_cell_length_c 4.906
_cell_angle_alpha 90.00
_cell_angle_beta 121.07
_cell_angle_gamma 90.00
_symmetry_space_group_name_H-M 'C 1 2/m 1'
_symmetry_Int_Tables_number 12
_symmetry_space_group_name_Hall '-C 2y'
loop_
_atom_site_label
_atom_site_fract_x
_atom_site_fract_y
_atom_site_fract_z
Mg1 0.000 0.192 0.000
Ag1 0.000 0.288 0.500
Ag2 0.094 0.000 0.316
Ag3 0.211 0.387 0.125
Pd1 0.000 0.500 0.500

(3)
# PBE Mg5Ag2Pd, optimized geometry
# - VASP energy (eV per formula unit) = -21.41
# - magnetic moment (μB/f.u.) = 0.0
# - formation enthalpy at 0 K (meV/atom) = -318
data_Mg5Ag2Pd
_cell_length_a 5.809
_cell_length_b 11.293
_cell_length_c 4.585
_cell_angle_alpha 90.00
_cell_angle_beta 90.00
_cell_angle_gamma 90.00
_symmetry_space_group_name_H-M 'P b a m'
_symmetry_Int_Tables_number 55
_symmetry_space_group_name_Hall '-P 2 2ab'
loop_
_atom_site_label
_atom_site_fract_x
_atom_site_fract_y
_atom_site_fract_z
Mg1 0.000 0.000 0.000
Mg2 0.119 0.268 0.000
Mg3 0.162 0.608 0.500
Ag1 0.152 0.867 0.500
Pd1 0.000 0.500 0.000

(4)
# PBE MgAgPd6, optimized geometry
# - VASP energy (eV per formula unit) = -37.50
# - magnetic moment (μB/f.u.) = 0.0
# - formation enthalpy at 0 K (meV/atom) = -237
data_MgAgPd6
_cell_length_a 3.979
_cell_length_b 3.979
_cell_length_c 7.979
_cell_angle_alpha 90.00
_cell_angle_beta 90.00
_cell_angle_gamma 90.00
_symmetry_space_group_name_H-M 'P 4/m m m'
_symmetry_Int_Tables_number 123
_symmetry_space_group_name_Hall '-P 4 2'
loop_
_atom_site_label
_atom_site_fract_x
_atom_site_fract_y
_atom_site_fract_z
Mg1 0.000 0.000 0.000
Ag1 0.000 0.000 0.500
Pd1 0.000 0.500 0.246
Pd2 0.500 0.500 0.000
Pd3 0.500 0.500 0.500

(5)
# PBE Mg6AgPd5, optimized geometry
# - VASP energy (eV per formula unit) = -46.20
# - magnetic moment (μB/f.u.) = 0.0
# - formation enthalpy at 0 K (meV/atom) = -651
data_Mg6AgPd5
_cell_length_a 4.529
_cell_length_b 6.455
_cell_length_c 7.058
_cell_angle_alpha 90.00
_cell_angle_beta 106.35
_cell_angle_gamma 90.00
_symmetry_space_group_name_H-M 'P 1 2/m 1'
_symmetry_Int_Tables_number 10
_symmetry_space_group_name_Hall '-P 2y'
loop_
_atom_site_label
_atom_site_fract_x
_atom_site_fract_y
_atom_site_fract_z
Mg1 0.000 0.242 0.000
Mg2 0.328 0.247 0.659
Ag1 0.500 0.500 0.000
Pd1 0.166 0.500 0.328
Pd2 0.167 0.000 0.331
Pd3 0.500 0.000 0.000

(6)
# PBE Mg4AgPd5, optimized geometry
# - VASP energy (eV per formula unit) = -41.30
# - magnetic moment (μB/f.u.) = 0.0
# - formation enthalpy at 0 K (meV/atom) = -611
data_Mg4AgPd5
_cell_length_a 3.251
_cell_length_b 3.251
_cell_length_c 15.333
_cell_angle_alpha 90.00
_cell_angle_beta 90.00
_cell_angle_gamma 90.00
_symmetry_space_group_name_H-M 'P 4/m m m'
_symmetry_Int_Tables_number 123
_symmetry_space_group_name_Hall '-P 4 2'
loop_
_atom_site_label
_atom_site_fract_x
_atom_site_fract_y
_atom_site_fract_z
Mg1 0.000 0.000 0.100
Mg2 0.000 0.000 0.301
Ag1 0.000 0.000 0.500
Pd1 0.500 0.500 0.000
Pd2 0.500 0.500 0.198
Pd3 0.500 0.500 0.394

(7)
# PBE MgAg3Pd4, optimized geometry
# - VASP energy (eV per formula unit) = -32.80
# - magnetic moment (μB/f.u.) = 0.0
# - formation enthalpy at 0 K (meV/atom) = -235
data_MgAg3Pd4
_cell_length_a 4.097
_cell_length_b 4.097
_cell_length_c 15.612
_cell_angle_alpha 90.00
_cell_angle_beta 90.00
_cell_angle_gamma 90.00
_symmetry_space_group_name_H-M 'I 4/m m m'
_symmetry_Int_Tables_number 139
_symmetry_space_group_name_Hall '-I 4 2'
loop_
_atom_site_label
_atom_site_fract_x
_atom_site_fract_y
_atom_site_fract_z
Mg1 0.000 0.000 0.000
Ag1 0.000 0.000 0.250
Ag2 0.000 0.000 0.500
Pd1 0.000 0.500 0.122

(8)
# PBE MgAg2Pd4, optimized geometry
# - VASP energy (eV per formula unit) = -28.46
# - magnetic moment (μB/f.u.) = 0.0
# - formation enthalpy at 0 K (meV/atom) = -55
data_MgAg2Pd4
_cell_length_a 4.4982
_cell_length_b 4.4982
_cell_length_c 21.1782
_cell_angle_alpha 90.00
_cell_angle_beta 90.00
_cell_angle_gamma 120.00
_symmetry_space_group_name_H-M 'R -3 m'
_symmetry_Int_Tables_number 166
_symmetry_space_group_name_Hall '-R 3 2"'
loop_
_atom_site_label
_atom_site_fract_x
_atom_site_fract_y
_atom_site_fract_z
Mg1 0.0000 0.0000 0.0000
Ag1 0.0000 0.0000 0.2526
Pd1 0.0000 0.0000 0.1263
Pd2 0.0000 0.0000 0.3836